Record 1
EuGd2Au | PBE | optimized geometry

**ρ**: 8.4 g cm⁻³
**Crystal system**: trigonal
**Formation enthalpy at 0 K**: -0.264 eV/atom
**Total DFT energy (no corrections)**: -10.69 eV per atom
**D(E_F)**: 1.926 states/eV/atom
**Excess energy over the best structure of this formula in the dataset**: 74 meV per atom

a = 3.8729 Å, b = 3.8729 Å, c = 30.4039 Å
α = 90.00°, β = 90.00°, γ = 120.00°
Space group R-3m (No. 166, hexagonal axes)
Symmetry-distinct sites (fractional):
Eu (0.0000, 0.0000, 0.0000) x3
Gd (0.0000, 0.0000, 0.2313) x6
Au (0.0000, 0.0000, 0.5000) x3

***

Record 2
EuGdAu | PBE | optimized geometry

**ρ**: 8.9 g cm⁻³
**Crystal system**: cubic
**Formation enthalpy at 0 K**: -0.423 eV/atom
**Total DFT energy (no corrections)**: -9.63 eV per atom
**D(E_F)**: 1.464 states/eV/atom
**Excess energy over the best structure of this formula in the dataset**: 96 meV per atom

a = 7.231 Å, b = 7.231 Å, c = 7.231 Å
α = 90.00°, β = 90.00°, γ = 90.00°
Space group F-43m (No. 216)
Symmetry-distinct sites (fractional):
Eu (0.000, 0.000, 0.000) x4
Gd (0.000, 0.000, 0.500) x4
Au (0.250, 0.250, 0.250) x4

***

Record 3
EuGdAu2 | PBE | optimized geometry

**ρ**: 11.7 g cm⁻³
**Crystal system**: cubic
**Formation enthalpy at 0 K**: -0.785 eV/atom
**Total DFT energy (no corrections)**: -8.51 eV per atom
**D(E_F)**: 2.629 states/eV/atom
**Excess energy over the best structure of this formula in the dataset**: 7 meV per atom

a = 7.359 Å, b = 7.359 Å, c = 7.359 Å
α = 90.00°, β = 90.00°, γ = 90.00°
Space group Fm-3m (No. 225)
Symmetry-distinct sites (fractional):
Eu (0.000, 0.000, 0.000) x4
Gd (0.000, 0.000, 0.500) x4
Au (0.250, 0.250, 0.250) x8

***

Record 4
EuGdHgAu | PBE | optimized geometry

**ρ**: 11.2 g cm⁻³
**Crystal system**: cubic
**Formation enthalpy at 0 K**: -0.632 eV/atom
**Total DFT energy (no corrections)**: -7.62 eV per atom
**D(E_F)**: 2.281 states/eV/atom

a = 7.492 Å, b = 7.492 Å, c = 7.492 Å
α = 90.00°, β = 90.00°, γ = 90.00°
Space group F-43m (No. 216)
Symmetry-distinct sites (fractional):
Eu (0.000, 0.000, 0.000) x4
Gd (0.000, 0.000, 0.500) x4
Hg (0.250, 0.250, 0.750) x4
Au (0.250, 0.250, 0.250) x4

***

Record 5
EuGdInAu | PBE | optimized geometry

**ρ**: 9.6 g cm⁻³
**Crystal system**: cubic
**Formation enthalpy at 0 K**: -0.585 eV/atom
**Total DFT energy (no corrections)**: -8.18 eV per atom
**D(E_F)**: 2.030 states/eV/atom

a = 7.557 Å, b = 7.557 Å, c = 7.557 Å
α = 90.00°, β = 90.00°, γ = 90.00°
Space group F-43m (No. 216)
Symmetry-distinct sites (fractional):
Eu (0.000, 0.000, 0.000) x4
Gd (0.000, 0.000, 0.500) x4
In (0.250, 0.250, 0.250) x4
Au (0.250, 0.250, 0.750) x4

***

Record 6
LiEuGdAu | PBE | optimized geometry

**ρ**: 8.4 g cm⁻³
**Crystal system**: cubic
**Formation enthalpy at 0 K**: -0.362 eV/atom
**Total DFT energy (no corrections)**: -7.75 eV per atom
**D(E_F)**: 1.955 states/eV/atom

a = 7.416 Å, b = 7.416 Å, c = 7.416 Å
α = 90.00°, β = 90.00°, γ = 90.00°
Space group F-43m (No. 216)
Symmetry-distinct sites (fractional):
Li (0.000, 0.000, 0.000) x4
Eu (0.250, 0.250, 0.750) x4
Gd (0.250, 0.250, 0.250) x4
Au (0.000, 0.000, 0.500) x4

***

Record 7
EuGdPbAu | PBE | optimized geometry

**ρ**: 10.5 g cm⁻³
**Crystal system**: cubic
**Formation enthalpy at 0 K**: -0.651 eV/atom
**Total DFT energy (no corrections)**: -8.49 eV per atom
**D(E_F)**: 2.906 states/eV/atom

a = 7.659 Å, b = 7.659 Å, c = 7.659 Å
α = 90.00°, β = 90.00°, γ = 90.00°
Space group F-43m (No. 216)
Symmetry-distinct sites (fractional):
Eu (0.000, 0.000, 0.000) x4
Gd (0.000, 0.000, 0.500) x4
Pb (0.250, 0.250, 0.750) x4
Au (0.250, 0.250, 0.250) x4

***

Record 8
EuGdPdAu | PBE | optimized geometry

**ρ**: 10.6 g cm⁻³
**Crystal system**: cubic
**Formation enthalpy at 0 K**: -0.748 eV/atom
**Total DFT energy (no corrections)**: -8.95 eV per atom
**D(E_F)**: 2.709 states/eV/atom

a = 7.259 Å, b = 7.259 Å, c = 7.259 Å
α = 90.00°, β = 90.00°, γ = 90.00°
Space group F-43m (No. 216)
Symmetry-distinct sites (fractional):
Eu (0.000, 0.000, 0.000) x4
Gd (0.000, 0.000, 0.500) x4
Pd (0.250, 0.250, 0.250) x4
Au (0.250, 0.250, 0.750) x4

***

Record 9
EuGdSnAu | PBE | optimized geometry

**ρ**: 9.5 g cm⁻³
**Crystal system**: cubic
**Formation enthalpy at 0 K**: -0.739 eV/atom
**Total DFT energy (no corrections)**: -8.65 eV per atom
**D(E_F)**: 2.183 states/eV/atom

a = 7.578 Å, b = 7.578 Å, c = 7.578 Å
α = 90.00°, β = 90.00°, γ = 90.00°
Space group F-43m (No. 216)
Symmetry-distinct sites (fractional):
Eu (0.000, 0.000, 0.000) x4
Gd (0.000, 0.000, 0.500) x4
Sn (0.250, 0.250, 0.750) x4
Au (0.250, 0.250, 0.250) x4

***

Record 10
Eu2GeAu | PBE | optimized geometry

**ρ**: 9.1 g cm⁻³
**Crystal system**: cubic
**Formation enthalpy at 0 K**: -0.688 eV/atom
**Total DFT energy (no corrections)**: -7.80 eV per atom
**D(E_F)**: 4.676 states/eV/atom
**Excess energy over the best structure of this formula in the dataset**: 2 meV per atom

a = 7.472 Å, b = 7.472 Å, c = 7.472 Å
α = 90.00°, β = 90.00°, γ = 90.00°
Space group Fm-3m (No. 225)
Symmetry-distinct sites (fractional):
Eu (0.250, 0.250, 0.250) x8
Ge (0.000, 0.000, 0.000) x4
Au (0.000, 0.000, 0.500) x4

***

Record 11
Eu2GeAu | PBE | optimized geometry

**ρ**: 9.1 g cm⁻³
**Crystal system**: tetragonal
**Formation enthalpy at 0 K**: -0.691 eV/atom
**Total DFT energy (no corrections)**: -7.80 eV per atom
**D(E_F)**: 3.880 states/eV/atom
**Excess energy over the best structure of this formula in the dataset**: 0 meV per atom

a = 5.376 Å, b = 5.376 Å, c = 3.620 Å
α = 90.00°, β = 90.00°, γ = 90.00°
Space group P4/mmm (No. 123)
Symmetry-distinct sites (fractional):
Eu (0.000, 0.500, 0.000) x2
Ge (0.000, 0.000, 0.500) x1
Au (0.500, 0.500, 0.500) x1

***

Record 12
EuGeAu3 | PBE | optimized geometry

**ρ**: 10.9 g cm⁻³
**Crystal system**: cubic
**Formation enthalpy at 0 K**: -0.316 eV/atom
**Total DFT energy (no corrections)**: -5.26 eV per atom
**D(E_F)**: 2.908 states/eV/atom

a = 4.995 Å, b = 4.995 Å, c = 4.995 Å
α = 90.00°, β = 90.00°, γ = 90.00°
Space group Pm-3m (No. 221)
Symmetry-distinct sites (fractional):
Eu (0.000, 0.000, 0.000) x1
Ge (0.500, 0.500, 0.500) x1
Au (0.000, 0.500, 0.500) x3